A plane-wave DFT calculation with PBE-GGA was carried out for a relaxed SrAc4Re3N12 crystal.

Values from the calculation:
theoretical density	9.89	g cm⁻³
spin magnetization	0.0	μB per formula unit
calculated volume	14.5	A^3/atom
raw formation energy	-0.40	eV per atom

Structure (CIF):
```
data_SrAc4Re3N12
_chemical_formula_sum 'Sr2 Ac8 Re6 N24'
_space_group_name_H-M_alt 'I m -3 m'
_space_group_IT_number 229
_space_group_name_Hall '-I 4 2 3'
_cell_length_a 8.3307
_cell_length_b 8.3307
_cell_length_c 8.3307
_cell_angle_alpha 90.00
_cell_angle_beta 90.00
_cell_angle_gamma 90.00
loop_
_atom_site_label
_atom_site_type_symbol
_atom_site_fract_x
_atom_site_fract_y
_atom_site_fract_z
_atom_site_occupancy
Sr1 Sr 0.0000 0.0000 0.0000 1
Ac1 Ac 0.2500 0.2500 0.2500 1
Re1 Re 0.0000 0.0000 0.5000 1
N1 N 0.0000 0.0000 0.2755 1
N2 N 0.0000 0.2500 0.5000 1
```